Entry 1:
A geometry-optimized YMg2Rh structure. Source: Alexandria via LeMat-Bulk, functional PBE.

```
YMg2Rh
1.0
-1.2338 3.7398 1.0416
-1.6202 -1.4893 3.4279
4.3384 0.7673 2.3839
Y Rh Mg
1 1 2
direct
0.0000 0.5000 0.5000
0.5000 0.0000 0.5000
0.5000 0.5000 0.0000
0.0000 0.0000 0.0000
```

space group: P4/mmm, No. 123
E_form: -31.6 kJ per mole of atoms

=====

Entry 2:
A geometry-optimized CaMg2In3 structure. Source: Alexandria via LeMat-Bulk, functional PBE.

```
CaMg2In3
1.0
5.1589 0.0000 0.0000
-2.5795 4.4678 0.0000
0.0000 0.0000 13.3463
Mg In Ca
4 6 2
direct
0.3333 0.6667 0.9007
0.6667 0.3333 0.4007
0.3333 0.6667 0.5993
0.6667 0.3333 0.0993
0.0000 0.0000 0.5000
0.6667 0.3333 0.8627
0.3333 0.6667 0.3627
0.6667 0.3333 0.6373
0.0000 0.0000 0.0000
0.3333 0.6667 0.1373
0.0000 0.0000 0.7500
0.0000 0.0000 0.2500
```

space group: P6_3/mmc, No. 194
E_form: -20.2 kJ per mole of atoms

=====

Entry 3:
A geometry-optimized CsCaH2 structure. Source: Alexandria via LeMat-Bulk, functional PBE.

```
CsCaH2
1.0
-0.0719 -5.6061 3.3643
4.6258 2.3341 3.9882
-1.7284 0.4653 7.0922
Ca Cs H
2 2 4
direct
0.2500 0.7500 0.5000
0.5000 0.5000 0.0000
0.0000 0.0000 0.0000
0.7500 0.2500 0.5000
0.8750 0.6771 0.7500
0.3229 0.6250 0.2500
0.3750 0.5729 0.7500
0.4271 0.1250 0.2500
```

polymorph energy (0 for the lowest one): 0 meV per atom
space group: I-42d, No. 122

=====

no.,DFT total energy (hartree per atom)
1,-0.16825
2,-0.08982
3,-0.09328